Run w
This record from the Alexandria database describes a geometry-optimized GdY2Th structure. The functional is PBE.

The structure in POSCAR format:
```
GdY2Th
1.0
0.0000 4.0279 4.0279
4.0279 0.0000 4.0279
4.0279 4.0279 0.0000
Gd Y Th
1 2 1
Direct
0.0000 0.0000 0.0000 Gd
0.2500 0.2500 0.2500 Y
0.7500 0.7500 0.7500 Y
0.5000 0.5000 0.5000 Th
```

As for the density: 7.205 Mg/m³. Its total moment is 7.458 μB per cell.

Run x
This record from the Alexandria database describes a geometry-optimized GdY2Th structure. The functional is PBE.

The structure in POSCAR format:
```
GdY2Th
1.0
1.7942 1.0359 11.6017
-1.7942 1.0359 11.6017
0.0000 -2.0718 11.6017
Gd Y Th
1 2 1
Direct
0.0000 0.0000 0.0000 Gd
0.2480 0.2480 0.2480 Y
0.7520 0.7520 0.7520 Y
0.5000 0.5000 0.5000 Th
```

As for the density: 7.279 Mg/m³. Its total moment is 7.567 μB per cell.

Run y
This record from the Alexandria database describes a geometry-optimized GdY2Th structure. The functional is PBE.

The structure in POSCAR format:
```
GdY2Th
1.0
5.0675 0.0000 0.0000
0.0000 5.0675 0.0000
0.0000 0.0000 5.0292
Gd Y Th
1 2 1
Direct
0.0000 0.0000 0.0000 Gd
0.0000 0.5000 0.5000 Y
0.5000 0.0000 0.5000 Y
0.5000 0.5000 0.0000 Th
```

As for the density: 7.292 Mg/m³. Its total moment is 7.509 μB per cell.

Q: What are the energies relative to the best structure? A: run w 0.109; run x 0.000; run y 0.018, in eV/atom.

Run w
This record from the Alexandria database describes a geometry-optimized Gd2YTh structure. The functional is PBE.

The structure in POSCAR format:
```
Gd2YTh
1.0
0.0000 4.0311 4.0311
4.0311 0.0000 4.0311
4.0311 4.0311 0.0000
Gd Y Th
2 1 1
Direct
0.2500 0.2500 0.2500 Gd
0.7500 0.7500 0.7500 Gd
0.0000 0.0000 0.0000 Y
0.5000 0.5000 0.5000 Th
```

As for the density: 8.054 Mg/m³. Its total moment is 16.993 μB per cell.

Run x
This record from the Alexandria database describes a geometry-optimized Gd2YTh structure. The functional is PBE.

The structure in POSCAR format:
```
Gd2YTh
1.0
3.5797 0.0000 0.0000
0.0000 3.5797 0.0000
0.0000 0.0000 10.1293
Gd Y Th
2 1 1
Direct
0.0000 0.0000 0.2419 Gd
0.0000 0.0000 0.7581 Gd
0.5000 0.5000 0.5000 Y
0.5000 0.5000 0.0000 Th
```

As for the density: 8.129 Mg/m³. Its total moment is 14.138 μB per cell.

Q: What are the energies relative to the best structure? A: run w 0.111; run x 0.000, in eV/atom.

Run w
This record from the Alexandria database describes a geometry-optimized GdThZn2 structure. The functional is PBE.

The structure in POSCAR format:
```
GdThZn2
1.0
3.6055 0.0000 0.0000
0.0000 3.6055 0.0000
0.0000 0.0000 7.3844
Gd Th Zn
1 1 2
Direct
0.0000 0.0000 0.0000 Gd
0.0000 0.0000 0.5000 Th
0.5000 0.5000 0.2390 Zn
0.5000 0.5000 0.7610 Zn
```

As for the density: 8.997 Mg/m³. Its total moment is 7.424 μB per cell.

Run x
This record from the Alexandria database describes a geometry-optimized GdThZn2 structure. The functional is PBE.

The structure in POSCAR format:
```
GdThZn2
1.0
0.0000 3.6427 3.6427
3.6427 0.0000 3.6427
3.6427 3.6427 0.0000
Gd Th Zn
1 1 2
Direct
0.0000 0.0000 0.0000 Gd
0.5000 0.5000 0.5000 Th
0.2500 0.2500 0.2500 Zn
0.7500 0.7500 0.7500 Zn
```

As for the density: 8.934 Mg/m³. Its total moment is 7.834 μB per cell.

Q: What are the energies relative to the best structure? A: run w 0.000; run x 0.015, in eV/atom.

Run w
This record from the Alexandria database describes a geometry-optimized GdTh2Zr structure. The functional is PBE.

The structure in POSCAR format:
```
GdTh2Zr
1.0
0.0000 3.8865 3.8865
3.8865 0.0000 3.8865
3.8865 3.8865 0.0000
Gd Th Zr
1 2 1
Direct
0.0000 0.0000 0.0000 Gd
0.2500 0.2500 0.2500 Th
0.7500 0.7500 0.7500 Th
0.5000 0.5000 0.5000 Zr
```

As for the density: 10.078 Mg/m³. Its total moment is 6.973 μB per cell.

Run x
This record from the Alexandria database describes a geometry-optimized GdTh2Zr structure. The functional is PBE.

The structure in POSCAR format:
```
GdTh2Zr
1.0
3.4948 0.0000 0.0000
0.0000 3.4948 0.0000
0.0000 0.0000 9.7695
Gd Th Zr
1 2 1
Direct
0.0000 0.0000 0.0000 Gd
0.5000 0.5000 0.2639 Th
0.5000 0.5000 0.7361 Th
0.0000 0.0000 0.5000 Zr
```

As for the density: 9.916 Mg/m³. Its total moment is 7.080 μB per cell.

Q: What are the energies relative to the best structure? A: run w 0.040; run x 0.000, in eV/atom.

Run w
This record from the Alexandria database describes a geometry-optimized Gd3Ti structure. The functional is PBE.

The structure in POSCAR format:
```
Gd3Ti
1.0
3.4617 0.0000 0.0000
0.0000 5.3865 0.0000
0.0000 0.0000 6.0169
Gd Ti
3 1
Direct
0.0000 0.0000 0.0000 Gd
0.0000 0.5000 0.3407 Gd
0.5000 0.5000 0.8098 Gd
0.5000 0.0000 0.4989 Ti
```

As for the density: 7.691 Mg/m³. Its total moment is 7.620 μB per cell.

Run x
This record from the Alexandria database describes a geometry-optimized Gd3Ti structure. The functional is PBE.

The structure in POSCAR format:
```
Gd3Ti
1.0
-1.7410 5.4855 2.9628
1.7410 -5.4855 2.9628
1.7410 5.4855 -2.9628
Gd Ti
3 1
Direct
0.0000 0.0000 0.0000 Gd
0.1390 0.3695 0.7695 Gd
0.6000 0.3695 0.2305 Gd
0.5281 0.0281 0.5000 Ti
```

As for the density: 7.624 Mg/m³. Its total moment is 6.301 μB per cell.

Q: What are the energies relative to the best structure? A: run w 0.019; run x 0.000, in eV/atom.

Run w
This record from the Alexandria database describes a geometry-optimized GdTiTl2 structure. The functional is PBE.

The structure in POSCAR format:
```
GdTiTl2
1.0
3.3220 0.0000 0.0000
0.0000 3.3220 0.0000
0.0000 0.0000 8.6159
Gd Ti Tl
1 1 2
Direct
0.0000 0.0000 0.0000 Gd
0.0000 0.0000 0.5000 Ti
0.5000 0.5000 0.2725 Tl
0.5000 0.5000 0.7275 Tl
```

As for the density: 10.721 Mg/m³. Its total moment is 6.613 μB per cell.

Run x
This record from the Alexandria database describes a geometry-optimized GdTiTl2 structure. The functional is PBE.

The structure in POSCAR format:
```
GdTiTl2
1.0
0.0000 3.6615 3.6615
3.6615 0.0000 3.6615
3.6615 3.6615 0.0000
Gd Ti Tl
1 1 2
Direct
0.0000 0.0000 0.0000 Gd
0.5000 0.5000 0.5000 Ti
0.2500 0.2500 0.2500 Tl
0.7500 0.7500 0.7500 Tl
```

As for the density: 10.383 Mg/m³. Its total moment is 5.162 μB per cell.

Run y
This record from the Alexandria database describes a geometry-optimized GdTiTl2 structure. The functional is PBE.

The structure in POSCAR format:
```
GdTiTl2
1.0
4.6536 0.0000 0.0000
0.0000 4.6536 0.0000
0.0000 0.0000 4.4860
Gd Ti Tl
1 1 2
Direct
0.0000 0.0000 0.0000 Gd
0.5000 0.5000 0.0000 Ti
0.0000 0.5000 0.5000 Tl
0.5000 0.0000 0.5000 Tl
```

As for the density: 10.493 Mg/m³. Its total moment is 8.801 μB per cell.

Q: What are the energies relative to the best structure? A: run w 0.000; run x 0.051; run y 0.021, in eV/atom.

Run w
This record from the Alexandria database describes a geometry-optimized Gd2TmTi structure. The functional is PBE.

The structure in POSCAR format:
```
Gd2TmTi
1.0
3.4075 0.0000 0.0000
0.0000 3.4075 0.0000
0.0000 0.0000 9.4101
Gd Tm Ti
2 1 1
Direct
0.0000 0.0000 0.2233 Gd
0.0000 0.0000 0.7767 Gd
0.5000 0.5000 0.5000 Tm
0.5000 0.5000 0.0000 Ti
```

As for the density: 8.074 Mg/m³. Its total moment is 14.257 μB per cell.

Run x
This record from the Alexandria database describes a geometry-optimized Gd2TmTi structure. The functional is PBE.

The structure in POSCAR format:
```
Gd2TmTi
1.0
4.7818 0.0000 0.0000
0.0000 4.7818 0.0000
0.0000 0.0000 4.7850
Gd Tm Ti
2 1 1
Direct
0.0000 0.5000 0.0000 Gd
0.5000 0.0000 0.0000 Gd
0.0000 0.0000 0.5000 Tm
0.5000 0.5000 0.5000 Ti
```

As for the density: 8.064 Mg/m³. Its total moment is 13.275 μB per cell.

Q: What are the energies relative to the best structure? A: run w 0.000; run x 0.022, in eV/atom.